Record 1
The following is a meta-GGA SCAN calculation of a PBEsol-optimized structure of Ni3OF5, from Alexandria via LeMat-Bulk.

CIF file:
```
data_Ni3OF5
_chemical_formula_sum 'Ni6 O2 F10'
_symmetry_space_group_name_H-M 'P 1'
_symmetry_Int_Tables_number 1
_symmetry_space_group_name_Hall 'P 1'
_cell_length_a 4.5872
_cell_length_b 3.0048
_cell_length_c 13.7571
_cell_angle_alpha 90.00
_cell_angle_beta 92.21
_cell_angle_gamma 90.00
loop_
_atom_site_label
_atom_site_type_symbol
_atom_site_fract_x
_atom_site_fract_y
_atom_site_fract_z
Ni1 Ni 0.0000 0.0000 0.0000
Ni2 Ni 0.0209 0.0000 0.6725
Ni3 Ni 0.4754 0.5000 0.8254
Ni4 Ni 0.5000 0.5000 0.5000
Ni5 Ni 0.5246 0.5000 0.1746
Ni6 Ni 0.9791 0.0000 0.3275
O1 O 0.3071 0.0000 0.7675
O2 O 0.6929 0.0000 0.2325
F1 F 0.1934 0.5000 0.5974
F2 F 0.1951 0.5000 0.2690
F3 F 0.2033 0.5000 0.9373
F4 F 0.2992 0.0000 0.4316
F5 F 0.3056 0.0000 0.1045
F6 F 0.6944 0.0000 0.8955
F7 F 0.7008 0.0000 0.5684
F8 F 0.7967 0.5000 0.0627
F9 F 0.8049 0.5000 0.7310
F10 F 0.8066 0.5000 0.4026
```

symmetry	P2/m
crystal system	monoclinic
excess energy over the best structure of this formula in the dataset	0.11	eV per formula unit
uncorrected formation energy	-18.3	eV per formula unit

Record 2
The following is a meta-GGA SCAN calculation of a PBEsol-optimized structure of CsTi3Zn, from Alexandria via LeMat-Bulk.

CIF file:
```
data_CsTi3Zn
_chemical_formula_sum 'Cs1 Ti3 Zn1'
_symmetry_space_group_name_H-M 'P 1'
_symmetry_Int_Tables_number 1
_symmetry_space_group_name_Hall 'P 1'
_cell_length_a 4.8762
_cell_length_b 4.8762
_cell_length_c 4.8762
_cell_angle_alpha 90.00
_cell_angle_beta 90.00
_cell_angle_gamma 90.00
loop_
_atom_site_label
_atom_site_type_symbol
_atom_site_fract_x
_atom_site_fract_y
_atom_site_fract_z
Cs1 Cs 0.0000 0.0000 0.0000
Ti1 Ti 0.0000 0.0000 0.5000
Ti2 Ti 0.0000 0.5000 0.0000
Ti3 Ti 0.5000 0.0000 0.0000
Zn1 Zn 0.5000 0.5000 0.5000
```

symmetry	Pm-3m
E	-88.980	eV/cell
crystal system	cubic

Record 3
The following is a meta-GGA SCAN calculation of a PBEsol-optimized structure of SrCu3F, from Alexandria via LeMat-Bulk.

CIF file:
```
data_SrCu3F
_chemical_formula_sum 'Sr1 Cu3 F1'
_symmetry_space_group_name_H-M 'P 1'
_symmetry_Int_Tables_number 1
_symmetry_space_group_name_Hall 'P 1'
_cell_length_a 4.4225
_cell_length_b 4.4225
_cell_length_c 4.4225
_cell_angle_alpha 90.00
_cell_angle_beta 90.00
_cell_angle_gamma 90.00
loop_
_atom_site_label
_atom_site_type_symbol
_atom_site_fract_x
_atom_site_fract_y
_atom_site_fract_z
Sr1 Sr 0.0000 0.0000 0.0000
Cu1 Cu 0.0000 0.5000 0.5000
Cu2 Cu 0.5000 0.0000 0.5000
Cu3 Cu 0.5000 0.5000 0.0000
F1 F 0.5000 0.5000 0.5000
```

symmetry	Pm-3m
crystal system	cubic
uncorrected formation energy	0.6	eV per formula unit

Record 4
The following is a meta-GGA SCAN calculation of a PBEsol-optimized structure of Mn2CuSb2Pd, from Alexandria via LeMat-Bulk.

CIF file:
```
data_Mn2CuSb2Pd
_chemical_formula_sum 'Mn2 Cu1 Sb2 Pd1'
_symmetry_space_group_name_H-M 'P 1'
_symmetry_Int_Tables_number 1
_symmetry_space_group_name_Hall 'P 1'
_cell_length_a 7.4617
_cell_length_b 7.4617
_cell_length_c 7.4617
_cell_angle_alpha 33.30
_cell_angle_beta 33.30
_cell_angle_gamma 33.30
loop_
_atom_site_label
_atom_site_type_symbol
_atom_site_fract_x
_atom_site_fract_y
_atom_site_fract_z
Mn1 Mn 0.0000 0.0000 0.0000
Mn2 Mn 0.4979 0.4979 0.4979
Cu1 Cu 0.3746 0.3746 0.3746
Sb1 Sb 0.2523 0.2523 0.2523
Sb2 Sb 0.7482 0.7482 0.7482
Pd1 Pd 0.8743 0.8743 0.8743
```

symmetry	R3m
crystal system	trigonal
uncorrected formation energy	-2.4	eV per formula unit

Record 5
The following is a meta-GGA SCAN calculation of a PBEsol-optimized structure of LiAl2Ni, from Alexandria via LeMat-Bulk.

CIF file:
```
data_LiAl2Ni
_chemical_formula_sum 'Li1 Al2 Ni1'
_symmetry_space_group_name_H-M 'P 1'
_symmetry_Int_Tables_number 1
_symmetry_space_group_name_Hall 'P 1'
_cell_length_a 4.1221
_cell_length_b 4.1221
_cell_length_c 4.1221
_cell_angle_alpha 60.00
_cell_angle_beta 60.00
_cell_angle_gamma 60.00
loop_
_atom_site_label
_atom_site_type_symbol
_atom_site_fract_x
_atom_site_fract_y
_atom_site_fract_z
Li1 Li 0.0000 0.0000 0.0000
Al1 Al 0.2500 0.2500 0.2500
Al2 Al 0.7500 0.7500 0.7500
Ni1 Ni 0.5000 0.5000 0.5000
```

symmetry	Fm-3m
E	-36.137	eV/cell
crystal system	cubic

Record 6
The following is a meta-GGA SCAN calculation of a PBEsol-optimized structure of Ca2SiP, from Alexandria via LeMat-Bulk.

CIF file:
```
data_Ca2SiP
_chemical_formula_sum 'Ca2 Si1 P1'
_symmetry_space_group_name_H-M 'P 1'
_symmetry_Int_Tables_number 1
_symmetry_space_group_name_Hall 'P 1'
_cell_length_a 4.1508
_cell_length_b 4.1508
_cell_length_c 5.8587
_cell_angle_alpha 90.00
_cell_angle_beta 90.00
_cell_angle_gamma 90.00
loop_
_atom_site_label
_atom_site_type_symbol
_atom_site_fract_x
_atom_site_fract_y
_atom_site_fract_z
Ca1 Ca 0.0000 0.0000 0.0000
Ca2 Ca 0.5000 0.5000 0.5000
Si1 Si 0.0000 0.0000 0.5000
P1 P 0.5000 0.5000 0.0000
```

symmetry	P4/mmm
crystal system	tetragonal
excess energy over the best structure of this formula in the dataset	1.31	eV per formula unit
uncorrected formation energy	-1.1	eV per formula unit